## NdHgPt (PBE-GGA)

Data for crystalline NdHgPt at its relaxed geometry.

The value obtained for the calculated density is 12530 kg/m³. The calculated formation energy is -0.68 eV/atom.

It has space group P-6m2 (No. 187), with a = 4.7570 Å, b = 4.7570 Å, c = 3.6511 Å, α = 90.00°, β = 90.00° and γ = 120.00°. The inequivalent atoms are Nd at (0.0000, 0.0000, 0.0000), Hg at (0.3333, 0.6667, 0.5000) and Pt at (0.6667, 0.3333, 0.5000).



## Y2GaNi6H (PBE-GGA)

Data for crystalline Y2GaNi6H at its relaxed geometry.

The electronic total energy is -5.779 eV per atom. The value obtained for the calculated density is 7262 kg/m³.

It has space group C2/m (No. 12), with a = 9.1273 Å, b = 5.2734 Å, c = 6.4624 Å, α = 90.00°, β = 117.97° and γ = 90.00°. The inequivalent atoms are Y at (0.2228, 0.0000, 0.1682), Ga at (0.0000, 0.5000, 0.0000), Ni at (0.0286, 0.2536, 0.3315), Ni at (0.2256, 0.0000, 0.6681) and H at (0.0000, 0.0000, 0.5000).



## Mn2Nb3Mo (PBE-GGA)

Data for crystalline Mn2Nb3Mo at its relaxed geometry.

The value obtained for the calculated density is 8721 kg/m³. The calculated formation energy is -0.08 eV/atom.

It has space group P4/mmm (No. 123), with a = 3.1323 Å, b = 3.1323 Å, c = 9.4035 Å, α = 90.00°, β = 90.00° and γ = 90.00°. The inequivalent atoms are Mn at (0.0000, 0.0000, 0.1608), Nb at (0.5000, 0.5000, 0.0000), Nb at (0.5000, 0.5000, 0.3251) and Mo at (0.0000, 0.0000, 0.5000).



## Rb5Hg2Te5 (PBE-GGA)

Data for crystalline Rb5Hg2Te5 at its relaxed geometry.

The value obtained for the calculated density is 4785 kg/m³. The uncorrected formation energy comes out at -8.05 eV per formula unit.

It has space group C2/m (No. 12), with a = 17.2583 Å, b = 4.6052 Å, c = 13.1331 Å, α = 90.00°, β = 102.80° and γ = 90.00°. The inequivalent atoms are Rb at (0.0000, 0.0000, 0.0000), Rb at (0.1567, 0.0000, 0.5918), Rb at (0.2205, 0.5000, 0.1262), Hg at (0.0376, 0.5000, 0.2906), Te at (0.0000, 0.5000, 0.5000), Te at (0.1106, 0.5000, 0.8564) and Te at (0.1423, 0.0000, 0.2948).



## Tb12NdDy6 (PBE-GGA)

Data for crystalline Tb12NdDy6 at its relaxed geometry.

The value obtained for the calculated density is 8078 kg/m³. The calculated formation energy is 0.15 eV/atom.

It has space group R-3 (No. 148, hexagonal axes), with a = 11.9322 Å, b = 11.9322 Å, c = 15.1352 Å, α = 90.00°, β = 90.00° and γ = 120.00°. The inequivalent atoms are Tb at (0.0142, 0.1797, 0.1916), Tb at (0.0421, 0.1911, 0.4162), Nd at (0.0000, 0.0000, 0.0000) and Dy at (0.0096, 0.5869, 0.6808).



## ZnCdSiIr (PBE-GGA)

Data for crystalline ZnCdSiIr at its relaxed geometry.

The value obtained for the calculated density is 7644 kg/m³. The uncorrected formation energy comes out at -0.15 eV per formula unit.

It has space group Pm (No. 6), with a = 4.2951 Å, b = 2.9258 Å, c = 6.8825 Å, α = 90.00°, β = 90.48° and γ = 90.00°. The inequivalent atoms are Zn at (0.0000, 0.0000, 0.0000), Cd at (0.5032, 0.0000, 0.3195), Si at (0.4971, 0.0000, 0.6975) and Ir at (0.4996, 0.5000, 0.9604).